{
  "formula": "ReRhSe2",
  "functional": "PBE-GGA",
  "state": "relaxed",
  "lattice": [[-1.0369, 4.3163, 0.9089], [-4.3241, 1.3526, -0.0619], [-2.0984, 1.0585, 3.8740]],
  "species": ["Rh", "Se", "Se", "Re"],
  "fractional_positions": [[0.2500, 0.2500, 0.2500], [0.7500, 0.7500, 0.7500], [0.0000, 0.0000, 0.0000], [0.5000, 0.5000, 0.5000]],
  "magnetic_moment_mub_per_cell": 0.00,
  "rho_g_cm3": 11.28,
  "n_ef_per_ev_cell": 4.37,
  "raw_formation_energy_ev_per_fu": 3.2,
  "space_group": "F-43m (216)",
  "e_above_lowest_polymorph_mev_per_atom": 776
}